1.
Compound: CaBePdO4
Source: Alexandria
Functional: PBE-GGA
Structure: relaxed Values from VASP.

Summary:
Fermi-level density of states ... 0.52 states/eV per atom
Space group ... Cmcm

The structure in Quantum ESPRESSO input format:
```
&SYSTEM
  ibrav = 0, nat = 14, ntyp = 4
/
ATOMIC_SPECIES
O 16.00 O.upf
Pd 106.42 Pd.upf
Be 9.01 Be.upf
Ca 40.08 Ca.upf
CELL_PARAMETERS angstrom
5.2576 0.0336 0.0000
-2.0811 4.8283 0.0000
0.0000 0.0000 6.5956
ATOMIC_POSITIONS crystal
O 0.7756 0.7874 0.7500
O 0.7874 0.7756 0.2500
O 0.2126 0.2244 0.7500
O 0.7741 0.2259 0.5425
O 0.7741 0.2259 0.9575
O 0.2259 0.7741 0.4575
O 0.2244 0.2126 0.2500
O 0.2259 0.7741 0.0425
Pd 0.8216 0.1784 0.2500
Pd 0.1784 0.8216 0.7500
Be 0.8776 0.1224 0.7500
Be 0.1224 0.8776 0.2500
Ca 0.5000 0.5000 0.0000
Ca 0.5000 0.5000 0.5000
```

2.
Compound: Ca2PmBe2O6
Source: Alexandria
Functional: PBE-GGA
Structure: relaxed Values from VASP.

Summary:
Fermi-level density of states ... 0.48 states/eV per atom
Space group ... P-3

The structure in Quantum ESPRESSO input format:
```
&SYSTEM
  ibrav = 0, nat = 11, ntyp = 4
/
ATOMIC_SPECIES
O 16.00 O.upf
Ca 40.08 Ca.upf
Be 9.01 Be.upf
Pm 145.00 Pm.upf
CELL_PARAMETERS angstrom
5.4914 0.0000 0.0000
-2.7457 4.7557 0.0000
0.0000 0.0000 5.9533
ATOMIC_POSITIONS crystal
O 0.9338 0.6180 0.2331
O 0.6843 0.0662 0.2331
O 0.6180 0.6843 0.7669
O 0.0662 0.3820 0.7669
O 0.3820 0.3157 0.2331
O 0.3157 0.9338 0.7669
Ca 0.3333 0.6667 0.3806
Ca 0.6667 0.3333 0.6194
Be 0.3333 0.6667 0.8120
Be 0.6667 0.3333 0.1880
Pm 0.0000 0.0000 0.0000
```

3.
Compound: Ca2PrBeO5
Source: Alexandria
Functional: PBE-GGA
Structure: relaxed Values from VASP.

Summary:
Fermi-level density of states ... 0.57 states/eV per atom
Space group ... Pnma

The structure in Quantum ESPRESSO input format:
```
&SYSTEM
  ibrav = 0, nat = 36, ntyp = 4
/
ATOMIC_SPECIES
Ca 40.08 Ca.upf
Pr 140.91 Pr.upf
O 16.00 O.upf
Be 9.01 Be.upf
CELL_PARAMETERS angstrom
6.5111 0.0000 0.0000
0.0000 7.2854 0.0000
0.0000 0.0000 9.3737
ATOMIC_POSITIONS crystal
Ca 0.5833 0.5278 0.8270
Ca 0.4167 0.4722 0.1730
Ca 0.0833 0.0278 0.6730
Ca 0.9167 0.5278 0.3270
Ca 0.9167 0.9722 0.3270
Ca 0.5833 0.9722 0.8270
Ca 0.4167 0.0278 0.1730
Ca 0.0833 0.4722 0.6730
Pr 0.4015 0.7500 0.4717
Pr 0.9015 0.2500 0.0283
Pr 0.0985 0.7500 0.9717
Pr 0.5985 0.2500 0.5283
O 0.4734 0.7500 0.0137
O 0.0266 0.7500 0.5137
O 0.1728 0.7500 0.2322
O 0.6391 0.7500 0.2763
O 0.6892 0.9380 0.5695
O 0.6728 0.2500 0.2678
O 0.3609 0.2500 0.7237
O 0.8272 0.2500 0.7678
O 0.8108 0.5620 0.0695
O 0.6892 0.5620 0.5695
O 0.3108 0.0620 0.4305
O 0.8609 0.7500 0.7763
O 0.1892 0.4380 0.9305
O 0.3108 0.4380 0.4305
O 0.8108 0.9380 0.0695
O 0.1892 0.0620 0.9305
O 0.9734 0.2500 0.4863
O 0.1391 0.2500 0.2237
O 0.3272 0.7500 0.7322
O 0.5266 0.2500 0.9863
Be 0.3107 0.2500 0.8945
Be 0.1893 0.2500 0.3945
Be 0.6893 0.7500 0.1055
Be 0.8107 0.7500 0.6055
```

4.
Compound: CaBe4Pt3O12
Source: Alexandria
Functional: PBE-GGA
Structure: relaxed Values from VASP.

Summary:
Fermi-level density of states ... 0.73 states/eV per atom
Space group ... R32

The structure in Quantum ESPRESSO input format:
```
&SYSTEM
  ibrav = 0, nat = 20, ntyp = 4
/
ATOMIC_SPECIES
O 16.00 O.upf
Pt 195.08 Pt.upf
Be 9.01 Be.upf
Ca 40.08 Ca.upf
CELL_PARAMETERS angstrom
-3.4794 0.9879 5.1959
-3.6248 -3.5225 -3.8122
4.7188 -3.8039 1.8285
ATOMIC_POSITIONS crystal
O 0.0852 0.9148 0.5000
O 0.7727 0.0410 0.6464
O 0.9590 0.2273 0.3536
O 0.6539 0.5000 0.3461
O 0.3461 0.6539 0.5000
O 0.9148 0.5000 0.0852
O 0.3536 0.9590 0.2273
O 0.6464 0.7727 0.0410
O 0.5000 0.3461 0.6539
O 0.5000 0.0852 0.9148
O 0.2273 0.3536 0.9590
O 0.0410 0.6464 0.7727
Pt 0.4362 0.0000 0.5638
Pt 0.5638 0.4362 0.0000
Pt 0.0000 0.5638 0.4362
Be 0.9287 0.0713 0.5000
Be 0.5000 0.9287 0.0713
Be 0.0713 0.5000 0.9287
Be 0.5000 0.5000 0.5000
Ca 0.0000 0.0000 0.0000
```

| no. | raw formation energy (eV/atom) |
| --- | --- |
| 1 | -1.494 |
| 2 | -2.586 |
| 3 | -2.771 |
| 4 | -1.464 |